SbTe2Ir | PBE | relaxed

Lattice parameters (Å, degrees): 4.9541 4.9541 4.9541 113.12 113.12 102.39
Last column: nearest neighbours and their distance in Å.
Fractional coordinates of all 4 atoms:
Sb 0.0000 0.0000 0.0000  6 Te 3.10-3.14, 4 Ir 3.14
Te 0.5000 0.5000 0.0000  2 Sb 3.10, 4 Te 3.14, 4 Ir 3.14
Te 0.7500 0.2500 0.5000  2 Ir 3.10, 4 Te 3.14, 4 Sb 3.14
Ir 0.2500 0.7500 0.5000  6 Te 3.10-3.14, 4 Sb 3.14

Calculated values
As for the density of states at the Fermi level: 1.13 states/eV per cell. The value obtained for the magnetization is 0.000 μB/cell. Its space group is I-4m2.

=====

Sb2TeIr | PBE | relaxed

Lattice parameters (Å, degrees): 4.2943 4.2943 5.0004 90.00 90.00 90.00
Last column: nearest neighbours and their distance in Å.
Fractional coordinates of all 4 atoms:
Sb 0.0000 0.5000 0.0000  4 Sb 3.04, 4 Te 3.30, 4 Ir 3.30
Sb 0.5000 0.0000 0.0000  4 Sb 3.04, 4 Te 3.30, 4 Ir 3.30
Te 0.0000 0.0000 0.5000  4 Ir 3.04, 8 Sb 3.30
Ir 0.5000 0.5000 0.5000  4 Te 3.04, 8 Sb 3.30

Calculated values
As for the density of states at the Fermi level: 2.33 states/eV per cell. The value obtained for the magnetization is 0.000 μB/cell. Its space group is P4/mmm.

=====

SbTe2Ir | PBE | relaxed

Lattice parameters (Å, degrees): 7.6384 7.6384 7.6384 128.70 128.70 75.49
Last column: nearest neighbours and their distance in Å.
Fractional coordinates of all 8 atoms:
Sb 0.0000 0.0000 0.0000  4 Te 3.05
Sb 0.7500 0.2500 0.5000  4 Te 3.05
Te 0.1881 0.6250 0.0631  2 Ir 2.56
Te 0.3750 0.4381 0.5631  2 Ir 2.56
Te 0.5619 0.1250 0.9369  2 Ir 2.56
Te 0.8750 0.8119 0.4369  2 Ir 2.56
Ir 0.2500 0.7500 0.5000  4 Te 2.56
Ir 0.5000 0.5000 0.0000  4 Te 2.56

Calculated values
As for the density of states at the Fermi level: 6.80 states/eV per cell. The value obtained for the magnetization is 0.000 μB/cell. Its space group is I-42d.

=====

Sb3TeIr | PBE | relaxed

Lattice parameters (Å, degrees): 5.2303 5.2303 5.2303 90.00 90.00 90.00
Last column: nearest neighbours and their distance in Å.
Fractional coordinates of all 5 atoms:
Sb 0.0000 0.0000 0.5000  2 Ir 2.62
Sb 0.0000 0.5000 0.0000  2 Ir 2.62
Sb 0.5000 0.0000 0.0000  2 Ir 2.62
Te 0.5000 0.5000 0.5000  12 Sb 3.70
Ir 0.0000 0.0000 0.0000  6 Sb 2.62

Calculated values
As for the density of states at the Fermi level: 6.15 states/eV per cell. The value obtained for the magnetization is 0.000 μB/cell. As for the distance to the lowest polymorph of the same formula: 0.296 eV per atom. Its space group is Pm-3m.

=====

Sb2TeIr | PBE | relaxed

Lattice parameters (Å, degrees): 8.6083 8.6083 8.6083 25.47 25.47 25.47
Last column: nearest neighbours and their distance in Å.
Fractional coordinates of all 4 atoms:
Sb 0.0000 0.0000 0.0000  3 Ir 2.75
Sb 0.2430 0.2430 0.2430  3 Sb 3.14
Te 0.4574 0.4574 0.4574  3 Ir 2.62
Ir 0.7334 0.7334 0.7334  3 Te 2.62, 3 Sb 2.75

Calculated values
As for the density of states at the Fermi level: 1.73 states/eV per cell. The value obtained for the magnetization is 0.000 μB/cell. Its space group is R3m.

=====

SbTe2Ir | PBE | relaxed

Lattice parameters (Å, degrees): 3.4037 5.1236 5.2169 90.00 90.00 90.00
Last column: nearest neighbours and their distance in Å.
Fractional coordinates of all 4 atoms:
Sb 0.0000 0.0000 0.0000  4 Te 3.08, 4 Ir 3.11, 2 Sb 3.40
Te 0.0000 0.5000 0.5000  4 Ir 3.08, 6 Te 3.11-3.40
Te 0.5000 0.5000 0.0000  4 Sb 3.08, 6 Te 3.11-3.40
Ir 0.5000 0.0000 0.5000  4 Te 3.08, 4 Sb 3.11, 2 Ir 3.40

Calculated values
As for the density of states at the Fermi level: 3.47 states/eV per cell. The value obtained for the magnetization is 0.000 μB/cell. Its space group is Pmmm.

=====

SbTe2Ir | PBE | relaxed

Lattice parameters (Å, degrees): 6.7867 6.7867 6.7867 147.61 139.36 52.89
Last column: nearest neighbours and their distance in Å.
Fractional coordinates of all 4 atoms:
Sb 0.0000 0.0000 0.0000  4 Ir 3.02, 4 Te 3.06
Te 0.3393 0.8393 0.5000  2 Ir 2.72
Te 0.6607 0.1607 0.5000  2 Ir 2.72
Ir 0.5000 0.5000 0.0000  4 Te 2.72, 4 Sb 3.02

Calculated values
As for the density of states at the Fermi level: 2.90 states/eV per cell. The value obtained for the magnetization is 0.000 μB/cell. Its space group is Immm.

=====

SbTe2Ir | PBE | relaxed

Lattice parameters (Å, degrees): 5.3652 5.3652 3.8881 90.00 90.00 116.32
Last column: nearest neighbours and their distance in Å.
Fractional coordinates of all 4 atoms:
Sb 0.0000 0.0000 0.0000  2 Ir 2.83
Te 0.3015 0.6985 0.5000  2 Ir 2.66
Te 0.6985 0.3015 0.5000  2 Ir 2.66
Ir 0.5000 0.5000 0.0000  4 Te 2.66, 2 Sb 2.83

Calculated values
As for the density of states at the Fermi level: 1.90 states/eV per cell. The value obtained for the magnetization is 0.000 μB/cell. Its space group is Cmmm.

=====

no.,uncorrected formation energy (eV/f.u.)
1,2.27
2,2.31
3,1.00
4,1.92
5,0.20
6,2.43
7,0.30
8,-0.14